(1)
Cs3GeH6 | PBE-GGA | relaxed

Summary:
* DOS at the Fermi energy: 3.3 states/eV per cell
* calculated total energy: -2.739 eV/atom

a b c (Å): 7.1868 8.2756 8.2756
angles (deg): 78.39 90.01 89.99
With the nearest neighbours (Å) after each atom.
Atoms (fractional coordinates):
Cs  0.6260  0.9536  0.6703  6 H 2.99-3.28
Cs  0.1260  0.6703  0.9536  6 H 2.99-3.28
Cs  0.2132  0.4758  0.5242  8 H 3.03-3.33
Cs  0.7131  0.5242  0.4758  8 H 3.03-3.33
Cs  0.1260  0.0464  0.3297  6 H 2.99-3.28
Cs  0.6260  0.3297  0.0464  6 H 2.99-3.28
Ge  0.0766  0.1312  0.8688  4 H 1.59-1.76
Ge  0.5765  0.8688  0.1312  4 H 1.59-1.76
H  0.9720  0.7625  0.5972  5 Cs 3.03-3.10, 1 H 3.29
H  0.4720  0.5972  0.7625  5 Cs 3.03-3.10, 1 H 3.29
H  0.1788  0.2944  0.8945  1 Ge 1.59
H  0.6788  0.8945  0.2943  1 Ge 1.59
H  0.2419  0.0070  0.9930  1 Ge 1.76
H  0.9003  0.2411  0.7589  1 Ge 1.71
H  0.4003  0.7589  0.2411  1 Ge 1.71
H  0.7415  0.9929  0.0071  1 Ge 1.76
H  0.1788  0.1055  0.7056  1 Ge 1.59
H  0.6788  0.7057  0.1055  1 Ge 1.59
H  0.9720  0.4028  0.2375  5 Cs 3.03-3.10, 1 H 3.29
H  0.4720  0.2375  0.4028  5 Cs 3.03-3.10, 1 H 3.29



(2)
Cr2CdHg | PBE-GGA | relaxed

Summary:
* DOS at the Fermi energy: 4.6 states/eV per cell
* calculated total energy: -4.316 eV/atom
* offset from the most stable computed form: 514 meV/atom

a b c (Å): 6.1180 5.0867 2.7545
angles (deg): 89.84 63.54 118.73
With the nearest neighbours (Å) after each atom.
Atoms (fractional coordinates):
Cd  0.5000  0.5000  0.0000  2 Hg 2.74, 2 Cd 2.75, 8 Cr 2.89-2.90
Cr  0.0000  0.0000  0.0000  4 Cr 2.74-2.75, 4 Hg 2.89-2.90, 4 Cd 2.89-2.90
Cr  0.5000  0.0000  0.5000  4 Cr 2.74-2.75, 4 Cd 2.89-2.90, 4 Hg 2.89-2.90
Hg  0.0000  0.5000  0.5000  2 Cd 2.74, 2 Hg 2.75, 8 Cr 2.89-2.90



(3)
CaMgCl | PBE-GGA | relaxed

Summary:
* ΔE_f (raw): -375.0 meV/atom
* DOS at the Fermi energy: 3.2 states/eV per cell
* calculated total energy: -2.189 eV/atom
* offset from the most stable computed form: 519 meV/atom

a b c (Å): 5.2866 5.2866 5.2866
angles (deg): 60.00 60.00 60.00
With the nearest neighbours (Å) after each atom.
Atoms (fractional coordinates):
Ca  0.7500  0.7500  0.7500  4 Cl 3.24, 4 Mg 3.24
Cl  0.0000  0.0000  0.0000  4 Ca 3.24
Mg  0.5000  0.5000  0.5000  4 Ca 3.24



(4)
RbRuO2 | PBE-GGA | relaxed

Summary:
* ΔE_f (raw): -809.8 meV/atom
* DOS at the Fermi energy: 7.0 states/eV per cell
* calculated total energy: -5.850 eV/atom

a b c (Å): 5.3440 5.3440 6.5013
angles (deg): 65.73 65.73 90.00
With the nearest neighbours (Å) after each atom.
Atoms (fractional coordinates):
Ru  0.0000  0.0000  0.0000  4 O 1.95
Ru  0.7500  0.2500  0.5000  4 O 1.95
O  0.7772  0.1250  0.2500  2 Ru 1.95
O  0.9728  0.6250  0.2500  2 Ru 1.95
O  0.3750  0.2228  0.7500  2 Ru 1.95
O  0.8750  0.0272  0.7500  2 Ru 1.95
Rb  0.5000  0.5000  0.0000  4 O 2.86
Rb  0.2500  0.7500  0.5000  4 O 2.86



(5)
MnCrAg2 | PBE-GGA | relaxed

Summary:
* DOS at the Fermi energy: 3.9 states/eV per cell
* calculated total energy: -5.580 eV/atom
* offset from the most stable computed form: 294 meV/atom

a b c (Å): 4.8818 4.8818 5.0569
angles (deg): 80.46 80.46 34.54
With the nearest neighbours (Å) after each atom.
Atoms (fractional coordinates):
Ag  0.9995  0.9995  0.0012  3 Cr 2.84-2.85, 3 Mn 2.84, 6 Ag 2.90-2.92
Ag  0.5005  0.5005  0.4988  3 Cr 2.84-2.85, 3 Mn 2.84, 6 Ag 2.90-2.92
Cr  0.7500  0.7500  0.7500  6 Ag 2.84-2.85, 2 Cr 2.90, 4 Mn 2.91
Mn  0.2500  0.2500  0.2500  6 Ag 2.84, 2 Mn 2.90, 4 Cr 2.91



(6)
SnIrS | PBE-GGA | relaxed

Summary:
* ΔE_f (raw): 72.3 meV/atom
* DOS at the Fermi energy: 2.7 states/eV per cell
* calculated total energy: -5.591 eV/atom

a b c (Å): 5.5964 3.0203 7.9032
angles (deg): 90.00 102.13 90.00
With the nearest neighbours (Å) after each atom.
Atoms (fractional coordinates):
S  0.6424  0.0000  0.5895  3 Ir 2.30-2.32
S  0.6424  0.5000  0.0895  3 Ir 2.30-2.32
Ir  0.5631  0.0000  0.8656  3 S 2.30-2.32
Ir  0.5631  0.5000  0.3656  3 S 2.30-2.32
Sn  0.0750  0.0000  0.8451  2 Ir 2.70-2.90, 1 S 2.81, 2 Sn 3.02
Sn  0.0750  0.5000  0.3451  2 Ir 2.70-2.90, 1 S 2.81, 2 Sn 3.02